Entry 1:
A plane-wave DFT calculation with PBE was carried out for a relaxed La8HRh3Br4 crystal.

POSCAR file:
```
La8HRh3Br4
1.0
7.159 -4.127 0.000
7.159 4.127 0.000
-4.772 0.000 7.913
La H Rh Br
8 1 3 4
Direct
0.231 0.736 0.697
0.232 0.232 0.698
0.264 0.769 0.303
0.267 0.267 0.302
0.733 0.733 0.698
0.736 0.231 0.697
0.768 0.768 0.302
0.769 0.264 0.303
0.000 0.000 0.500
0.000 0.500 0.500
0.500 0.000 0.500
0.500 0.500 0.500
0.000 0.000 0.000
0.000 0.500 0.000
0.500 0.000 0.000
0.500 0.500 0.000
```

Output
DFT total energy, eV per cell: -88.5
DOS(E_F), states/eV/atom: 0.723
Volume, Å³ per cell: 467.5


Entry 2:
A plane-wave DFT calculation with PBE was carried out for a relaxed LaTlHRhBr crystal.

POSCAR file:
```
LaTlHRhBr
1.0
3.796 0.000 0.000
-1.892 3.763 0.000
-0.056 -0.079 8.729
La Tl H Rh Br
1 1 1 1 1
Direct
0.000 0.000 0.000
0.016 0.057 0.593
0.242 0.496 0.821
0.724 0.459 0.812
0.327 0.648 0.238
```

Output
DFT total energy, eV per cell: -23.1
DOS(E_F), states/eV/atom: 0.232
Volume, Å³ per cell: 124.7
Offset from the most stable computed form, meV per atom: 54


Q: Which of these has the lowest volume?
A: LaTlHRhBr


Q: What is the DFT total energy in the first record?
A: -88.5 eV per cell


Q: Which formula does entry 1 have?
A: La8HRh3Br4


Q: Which of these has the highest DOS(E_F)?
A: La8HRh3Br4